Record 1
Below is an optimized crystal structure of Cu2Ni2Pd, with properties calculated at the GGA-PBE level.

The structure in POSCAR format:
```
Cu2Ni2Pd
1.0
-4.0693 -5.0027 -2.2841
5.4187 -3.1623 -2.7277
0.3675 -1.3435 2.2876
Cu Ni Pd
4 4 2
Direct
0.8268 0.3268 0.5000
0.1732 0.6732 0.5000
0.3268 0.1732 0.5000
0.6732 0.8268 0.5000
0.1233 0.3767 0.0000
0.6233 0.1233 0.0000
0.8767 0.6233 0.0000
0.3767 0.8767 0.0000
0.5000 0.5000 0.0000
0.0000 0.0000 0.0000
```

Calculated values
- Relative energy among the computed polymorphs: 0.0000 eV per atom
- Energy of formation: 0.1399 eV per atom
- Space-group type: P4/mbm

Record 2
Below is an optimized crystal structure of RbPH2O4, with properties calculated at the GGA-PBE level.

The structure in POSCAR format:
```
RbPH2O4
1.0
3.9432 0.0000 0.0000
1.9716 5.1208 0.0200
1.9716 0.4396 5.1019
O Rb H P
4 1 2 1
Direct
0.8735 0.4867 0.2622
0.3776 0.2622 0.4867
0.6224 0.5133 0.7378
0.1265 0.7378 0.5133
0.0000 0.0000 0.0000
0.1328 0.3672 0.3672
0.8672 0.6328 0.6328
0.5000 0.5000 0.5000
```

Calculated values
- Relative energy among the computed polymorphs: 0.1599 eV per atom
- Space-group type: I222

Record 3
Below is an optimized crystal structure of FeSbSe2, with properties calculated at the GGA-PBE level.

The structure in POSCAR format:
```
FeSbSe2
1.0
3.3686 -0.0743 0.0000
-1.6310 2.9483 0.0000
0.0000 0.0000 8.9621
Sb Fe Se
1 1 2
Direct
0.5000 0.5000 0.7500
0.5000 0.5000 0.2500
0.0000 0.0000 0.4405
0.0000 0.0000 0.0595
```

Calculated values
- Formation energy without anion corrections: 0.220 eV per atom
- Space-group type: Cmmm

Record 4
Below is an optimized crystal structure of YHfTc, with properties calculated at the GGA-PBE level.

The structure in POSCAR format:
```
YHfTc
1.0
-3.7472 6.7397 1.4341
-2.9746 -1.3676 -1.3454
0.1717 -8.0535 7.8066
Y Hf Tc
4 4 4
Direct
0.8652 0.0000 0.5874
0.8652 0.5000 0.0874
0.1348 0.0000 0.4126
0.1348 0.5000 0.9126
0.5529 0.0000 0.1622
0.4471 0.5000 0.3378
0.5529 0.5000 0.6622
0.4471 0.0000 0.8378
0.7926 0.0000 0.8490
0.2074 0.0000 0.1510
0.2074 0.5000 0.6510
0.7926 0.5000 0.3490
```

Calculated values
- Relative energy among the computed polymorphs: 0.0437 eV per atom
- Energy of formation: -0.1153 eV per atom
- Space-group type: C2/m

Number 1: spin magnetization 1.86 Bohr magnetons per cell. Number 2: spin magnetization 0.00 Bohr magnetons per cell. Number 3: spin magnetization 2.84 Bohr magnetons per cell. Number 4: spin magnetization 0.00 Bohr magnetons per cell.